# 1
The following is a DFT calculation (PBE) of a geometry-optimized ZnAgIr2 structure.

Unit cell a=2.7528 b=2.7528 c=8.0053 alpha=90.00 beta=90.00 gamma=90.00
Last column: nearest neighbours and their distance in Å.
Element x y z (fractional)
1 Zn 0.0000 0.0000 0.0000  8 Ir 2.69, 4 Zn 2.75
2 Ag 0.0000 0.0000 0.5000  4 Ag 2.75, 8 Ir 2.90
3 Ir 0.5000 0.5000 0.2319  4 Zn 2.69, 4 Ir 2.75, 4 Ag 2.90
4 Ir 0.5000 0.5000 0.7681  4 Zn 2.69, 4 Ir 2.75, 4 Ag 2.90

## Properties
symmetry = P4/mmm
density of states at the Fermi level = 1.648 states/eV per atom
energy relative to the elements = 1.1 eV per formula unit

***

# 2
The following is a DFT calculation (PBE) of a geometry-optimized LiTl2P2 structure.

Unit cell a=9.5952 b=9.5952 c=9.5952 alpha=159.63 beta=159.63 gamma=28.97
Last column: nearest neighbours and their distance in Å.
Element x y z (fractional)
1 Li 0.0000 0.0000 0.0000  8 Tl 3.07, 4 Li 3.39
2 Tl 0.3965 0.3965 0.0000  4 Li 3.07, 4 P 3.21, 4 Tl 3.39
3 Tl 0.6035 0.6035 0.0000  4 Li 3.07, 4 P 3.21, 4 Tl 3.39
4 P 0.2500 0.7500 0.5000  4 P 2.40
5 P 0.7500 0.2500 0.5000  4 P 2.40

## Properties
symmetry = I4/mmm
distance to the lowest polymorph of the same formula = 147 meV per atom
density of states at the Fermi level = 0.430 states/eV per atom
energy relative to the elements = 0.5 eV per formula unit

***

# 3
The following is a DFT calculation (PBE) of a geometry-optimized Ga3OsCl structure.

Unit cell a=4.8111 b=4.8111 c=4.8111 alpha=90.00 beta=90.00 gamma=90.00
Last column: nearest neighbours and their distance in Å.
Element x y z (fractional)
1 Ga 0.0000 0.0000 0.5000  2 Cl 2.41
2 Ga 0.0000 0.5000 0.0000  2 Cl 2.41
3 Ga 0.5000 0.0000 0.0000  2 Cl 2.41
4 Os 0.5000 0.5000 0.5000  12 Ga 3.40
5 Cl 0.0000 0.0000 0.0000  6 Ga 2.41

## Properties
symmetry = Pm-3m
distance to the lowest polymorph of the same formula = 1418 meV per atom
density of states at the Fermi level = 0.624 states/eV per atom
formation energy from raw total energies = 1.259 eV per atom

***

# 4
The following is a DFT calculation (PBE) of a geometry-optimized ErMg2Pd structure.

Unit cell a=4.1256 b=4.1256 c=4.9922 alpha=90.00 beta=90.00 gamma=90.00
Last column: nearest neighbours and their distance in Å.
Element x y z (fractional)
1 Er 0.0000 0.0000 0.0000  4 Pd 2.92, 8 Mg 3.24
2 Mg 0.0000 0.5000 0.5000  4 Mg 2.92, 4 Pd 3.24, 4 Er 3.24
3 Mg 0.5000 0.0000 0.5000  4 Mg 2.92, 4 Pd 3.24, 4 Er 3.24
4 Pd 0.5000 0.5000 0.0000  4 Er 2.92, 8 Mg 3.24

## Properties
symmetry = P4/mmm
density of states at the Fermi level = 0.556 states/eV per atom
energy relative to the elements = -1.5 eV per formula unit

***

# 5
The following is a DFT calculation (PBE) of a geometry-optimized NbOsRu3 structure.

Unit cell a=4.6221 b=4.6221 c=4.6221 alpha=90.00 beta=90.00 gamma=90.00
Last column: nearest neighbours and their distance in Å.
Element x y z (fractional)
1 Nb 0.0000 0.0000 0.0000  12 Ru 3.27
2 Os 0.5000 0.5000 0.5000  6 Ru 2.31
3 Ru 0.0000 0.5000 0.5000  2 Os 2.31
4 Ru 0.5000 0.0000 0.5000  2 Os 2.31
5 Ru 0.5000 0.5000 0.0000  2 Os 2.31

## Properties
symmetry = Pm-3m
distance to the lowest polymorph of the same formula = 1691 meV per atom
density of states at the Fermi level = 1.665 states/eV per atom
energy relative to the elements = 8.4 eV per formula unit